# Si2NiIrF (PBE with a Hubbard U, optimized geometry)
# Total moment in μB/cell: 0.0
# Uncorrected energy in eV for the cell shown: -22.72
data_Si2NiIrF
_symmetry_space_group_name_H-M 'P 4/m m m'
_symmetry_Int_Tables_number 123
_symmetry_space_group_name_Hall '-P 4 2'
_cell_length_a 4.514
_cell_length_b 4.514
_cell_length_c 3.441
_cell_angle_alpha 90.00
_cell_angle_beta 90.00
_cell_angle_gamma 90.00
loop_
_atom_site_label
_atom_site_type_symbol
_atom_site_fract_x
_atom_site_fract_y
_atom_site_fract_z
Si1 Si 0.000 0.500 0.000
Ni1 Ni 0.000 0.000 0.000
Ir1 Ir 0.500 0.500 0.500
F1 F 0.000 0.000 0.500